Here is a relaxed structure of Li2OsCF from Alexandria. Energies are from PBE-GGA.

The value obtained for the energy relative to the elements, uncorrected is 0.05 eV/atom. The value obtained for the density of states at the Fermi level is 0.440 states/eV/atom.

It has space group P4/mmm (No. 123), with a = 3.1632 Å, b = 3.1632 Å, c = 5.8172 Å, α = 90.00°, β = 90.00° and γ = 90.00°. Symmetry generates all atoms from Li at (0.0000, 0.5000, 0.0000), Os at (0.0000, 0.0000, 0.5000), C at (0.5000, 0.5000, 0.5000) and F at (0.0000, 0.0000, 0.0000).

Here is a relaxed structure of Tb5Ir2Ru from Alexandria. Energies are from PBE-GGA.

The value obtained for the density of states at the Fermi level is 0.526 states/eV/atom. The value obtained for the formation energy from the elements is -578 meV/atom.

It has space group Pbam (No. 55), with a = 7.6128 Å, b = 12.0311 Å, c = 4.2093 Å, α = 90.00°, β = 90.00° and γ = 90.00°. Symmetry generates all atoms from Tb at (0.0000, 0.0000, 0.0000), Tb at (0.1656, 0.2971, 0.0000), Tb at (0.1736, 0.5936, 0.5000), Ir at (0.0362, 0.8291, 0.5000) and Ru at (0.0000, 0.5000, 0.0000).

Here is a relaxed structure of LiCrAs from Alexandria. Energies are from PBE-GGA.

The value obtained for the density of states at the Fermi level is 0.338 states/eV/atom. The value obtained for the formation energy from the elements is -237 meV/atom.

It has space group P6_3/mmc (No. 194), with a = 4.4685 Å, b = 4.4685 Å, c = 5.4856 Å, α = 90.00°, β = 90.00° and γ = 120.00°. Symmetry generates all atoms from Li at (0.0000, 0.0000, 0.0000), Cr at (0.3333, 0.6667, 0.2500) and As at (0.3333, 0.6667, 0.7500).

Here is a relaxed structure of Si3Pb from Alexandria. Energies are from PBE-GGA.

The value obtained for the energy relative to the elements, uncorrected is 0.45 eV/atom. The value obtained for the density of states at the Fermi level is 0.418 states/eV/atom.

It has space group P4/mmm (No. 123), with a = 3.3690 Å, b = 3.3690 Å, c = 6.8875 Å, α = 90.00°, β = 90.00° and γ = 90.00°. Symmetry generates all atoms from Si at (0.0000, 0.0000, 0.0000), Si at (0.5000, 0.5000, 0.1743) and Pb at (0.0000, 0.0000, 0.5000).

Here is a relaxed structure of YN from Alexandria. Energies are from PBE-GGA.

The value obtained for the energy relative to the elements, uncorrected is -0.76 eV/atom. The value obtained for the density of states at the Fermi level is 0.239 states/eV/atom.

It has space group Pm-3m (No. 221), with a = 3.0075 Å, b = 3.0075 Å, c = 3.0075 Å, α = 90.00°, β = 90.00° and γ = 90.00°. Symmetry generates all atoms from Y at (0.0000, 0.0000, 0.0000) and N at (0.5000, 0.5000, 0.5000).

Here is a relaxed structure of InBi2Pd2 from Alexandria. Energies are from PBE-GGA.

The value obtained for the density of states at the Fermi level is 0.498 states/eV/atom. The value obtained for the formation energy from the elements is -223 meV/atom.

It has space group P4/mbm (No. 127), with a = 7.3491 Å, b = 7.3491 Å, c = 4.2370 Å, α = 90.00°, β = 90.00° and γ = 90.00°. Symmetry generates all atoms from In at (0.0000, 0.0000, 0.0000), Bi at (0.1615, 0.3385, 0.5000) and Pd at (0.1386, 0.6386, 0.0000).